# 1
# LiZrScCd | the Alexandria database | PBE-GGA | optimized geometry
# N(E_F) = 1.07 states/eV/atom
# ΔE_f = 0.04 eV/atom
data_LiZrScCd
_space_group_name_H-M_alt 'F -4 3 m'
_space_group_IT_number 216
_space_group_name_Hall 'F -4 2 3'
_cell_length_a 6.9655
_cell_length_b 6.9655
_cell_length_c 6.9655
_cell_angle_alpha 90.00
_cell_angle_beta 90.00
_cell_angle_gamma 90.00
loop_
_atom_site_label
_atom_site_type_symbol
_atom_site_fract_x
_atom_site_fract_y
_atom_site_fract_z
_atom_site_occupancy
Li1 Li 0.0000 0.0000 0.0000 1
Zr1 Zr 0.2500 0.2500 0.2500 1
Sc1 Sc 0.2500 0.2500 0.7500 1
Cd1 Cd 0.0000 0.0000 0.5000 1

---

# 2
# LiZr2ScCd | the Alexandria database | PBE-GGA | optimized geometry
# N(E_F) = 1.53 states/eV/atom
# ΔE_f = 0.98 eV/atom
data_LiZr2ScCd
_space_group_name_H-M_alt 'P 4/m m m'
_space_group_IT_number 123
_space_group_name_Hall '-P 4 2'
_cell_length_a 5.3482
_cell_length_b 5.3482
_cell_length_c 5.2895
_cell_angle_alpha 90.00
_cell_angle_beta 90.00
_cell_angle_gamma 90.00
loop_
_atom_site_label
_atom_site_type_symbol
_atom_site_fract_x
_atom_site_fract_y
_atom_site_fract_z
_atom_site_occupancy
Li1 Li 0.0000 0.0000 0.0000 1
Zr1 Zr 0.0000 0.5000 0.5000 1
Sc1 Sc 0.5000 0.5000 0.0000 1
Cd1 Cd 0.5000 0.5000 0.5000 1